No. 1
DFT (GGA-PBE) results for PuUOs4 after structural relaxation.

The structure in POSCAR format:
```
PuUOs4
1.0
5.337 0.000 0.000
2.669 4.622 0.000
2.669 1.541 4.358
Os U Pu
4 1 1
Direct
0.625 0.625 0.625
0.625 0.125 0.625
0.125 0.625 0.625
0.625 0.625 0.125
0.250 0.250 0.250
0.000 0.000 0.000
```

## Properties
formation energy from the elements = -79 meV/atom
theoretical density = 19.20 g/cm³
total moment = 6.252 μB per formula unit
N(E_F) = 13.31 states/eV/cell

***

No. 2
DFT (GGA-PBE) results for CdGaPt2 after structural relaxation.

The structure in POSCAR format:
```
CdGaPt2
1.0
-2.881 -1.716 -2.343
-1.569 -3.637 1.022
-5.071 0.527 2.277
Cd Pt Ga
1 2 1
Direct
0.493 0.493 0.520
0.063 0.063 0.811
0.269 0.269 0.193
0.675 0.675 0.976
```

## Properties
formation energy from the elements = -359 meV/atom
theoretical density = 12.96 g/cm³
total moment = 0.000 μB per formula unit
N(E_F) = 1.54 states/eV/cell

***

No. 3
DFT (GGA-PBE) results for BaIr2Os after structural relaxation.

The structure in POSCAR format:
```
BaIr2Os
1.0
-2.070 2.712 6.914
-3.800 -6.553 1.433
-0.050 -3.288 5.573
Ba Ir Os
2 4 2
Direct
0.250 0.750 0.500
0.500 0.500 0.000
0.018 0.625 0.250
0.875 0.982 0.750
0.375 0.268 0.750
0.732 0.125 0.250
0.000 0.000 0.000
0.750 0.250 0.500
```

## Properties
formation energy from the elements = 698 meV/atom
theoretical density = 11.41 g/cm³
total moment = 0.000 μB per formula unit
E above lowest polymorph = 55.8 kJ/mol of atoms
N(E_F) = 8.04 states/eV/cell

***

No. 4
DFT (GGA-PBE) results for Cs3SrPm2Te6 after structural relaxation.

The structure in POSCAR format:
```
Cs3SrPm2Te6
1.0
8.151 -0.002 0.000
-4.075 7.059 0.000
-1.360 -2.354 8.999
Pm Te Sr Cs
2 6 1 3
Direct
0.667 0.333 0.000
0.333 0.667 0.000
0.415 0.066 0.197
0.066 0.415 0.197
0.284 0.284 0.805
0.716 0.716 0.195
0.585 0.934 0.803
0.934 0.585 0.803
0.000 0.000 0.000
0.838 0.162 0.500
0.500 0.500 0.500
0.162 0.838 0.500
```

## Properties
theoretical density = 4.95 g/cm³
total moment = 0.000 μB per formula unit
formation energy (no corrections) = -1.32 eV per atom
N(E_F) = 10.04 states/eV/cell

***

No. 5
DFT (GGA-PBE) results for PrSc3H after structural relaxation.

The structure in POSCAR format:
```
PrSc3H
1.0
-0.040 2.670 3.897
-1.672 -3.652 2.486
4.418 -1.358 0.976
Sc Pr H
3 1 1
Direct
0.000 0.500 0.000
0.500 0.000 0.000
0.000 0.000 0.500
0.500 0.500 0.500
0.000 0.000 0.000
```

## Properties
theoretical density = 4.36 g/cm³
total moment = 0.000 μB per formula unit
uncorrected energy = -5.535 eV per atom
N(E_F) = 4.58 states/eV/cell

***

No. 6
DFT (GGA-PBE) results for Pr5Nd4Ho2 after structural relaxation.

The structure in POSCAR format:
```
Pr5Nd4Ho2
1.0
3.492 0.000 -0.532
-0.209 8.897 -1.373
0.099 0.403 12.370
Pr Ho Nd
5 2 4
Direct
0.500 0.000 0.000
0.860 0.887 0.720
0.230 0.821 0.460
0.140 0.113 0.280
0.770 0.179 0.540
0.091 0.732 0.181
0.909 0.268 0.819
0.677 0.472 0.353
0.323 0.528 0.647
0.045 0.362 0.091
0.955 0.638 0.909
```

## Properties
formation energy from the elements = 135 meV/atom
theoretical density = 6.92 g/cm³
total moment = 0.000 μB per formula unit
E above lowest polymorph = 0.0 kJ/mol of atoms
N(E_F) = 17.98 states/eV/cell

***

No. 7
DFT (GGA-PBE) results for Tl3VI6 after structural relaxation.

The structure in POSCAR format:
```
Tl3VI6
1.0
9.290 -0.480 0.410
0.371 9.295 0.410
-0.526 -0.480 9.284
I Tl V
12 6 2
Direct
0.204 0.903 0.196
0.796 0.529 0.478
0.097 0.804 0.796
0.796 0.097 0.804
0.204 0.471 0.522
0.529 0.478 0.796
0.196 0.204 0.903
0.478 0.796 0.529
0.903 0.196 0.204
0.804 0.796 0.097
0.471 0.522 0.204
0.522 0.204 0.471
0.102 0.537 0.184
0.184 0.102 0.537
0.898 0.463 0.816
0.816 0.898 0.463
0.537 0.184 0.102
0.463 0.816 0.898
0.000 0.000 0.000
0.500 0.500 0.500
```

## Properties
theoretical density = 5.87 g/cm³
total moment = 2.000 μB per formula unit
formation energy (no corrections) = -0.54 eV per atom
N(E_F) = 19.12 states/eV/cell

***

No. 8
DFT (GGA-PBE) results for RbPrAgTe3 after structural relaxation.

The structure in POSCAR format:
```
RbPrAgTe3
1.0
4.478 0.000 0.000
-2.239 8.646 0.000
0.000 0.000 11.603
Rb Te Pr Ag
2 6 2 2
Direct
0.752 0.505 0.750
0.248 0.495 0.250
0.374 0.749 0.938
0.626 0.251 0.438
0.374 0.749 0.562
0.626 0.251 0.062
0.079 0.157 0.750
0.921 0.843 0.250
0.000 0.000 0.500
0.000 0.000 0.000
0.524 0.048 0.250
0.476 0.952 0.750
```

## Properties
theoretical density = 5.30 g/cm³
total moment = 0.000 μB per formula unit
formation energy (no corrections) = -0.92 eV per atom
N(E_F) = 9.77 states/eV/cell

***

No. 9
DFT (GGA-PBE) results for Y7Ho3Th after structural relaxation.

The structure in POSCAR format:
```
Y7Ho3Th
1.0
-7.301 -5.935 -3.210
9.926 0.513 -0.181
3.159 -11.316 6.119
Th Y Ho
2 14 6
Direct
0.500 0.500 0.000
0.500 0.500 0.500
0.499 0.499 0.750
0.444 0.122 0.469
0.089 0.913 0.250
0.913 0.089 0.250
0.556 0.878 0.531
0.087 0.911 0.750
0.501 0.501 0.250
0.911 0.087 0.750
0.878 0.556 0.531
0.122 0.444 0.469
0.122 0.444 0.969
0.878 0.556 0.031
0.556 0.878 0.031
0.444 0.122 0.969
0.499 0.000 0.750
0.000 0.499 0.750
0.501 0.000 0.250
0.000 0.501 0.250
0.000 0.000 0.000
0.000 0.000 0.500
```

## Properties
formation energy from the elements = 153 meV/atom
theoretical density = 6.21 g/cm³
total moment = 0.000 μB per formula unit
E above lowest polymorph = 0.0 kJ/mol of atoms
N(E_F) = 39.93 states/eV/cell

***

No. 10
DFT (GGA-PBE) results for Li2PH4 after structural relaxation.

The structure in POSCAR format:
```
Li2PH4
1.0
4.368 0.000 0.000
0.000 4.368 0.000
-2.184 -2.184 3.157
H P Li
4 1 2
Direct
0.238 0.238 0.000
0.762 0.762 0.000
0.238 0.762 0.000
0.762 0.238 0.000
0.500 0.500 0.000
0.750 0.250 0.500
0.250 0.750 0.500
```

## Properties
theoretical density = 1.35 g/cm³
total moment = 0.000 μB per formula unit
uncorrected energy = -3.215 eV per atom
N(E_F) = 0.62 states/eV/cell

***

No. 11
DFT (GGA-PBE) results for KCdH2 after structural relaxation.

The structure in POSCAR format:
```
KCdH2
1.0
5.184 0.000 0.000
0.000 5.184 0.000
2.592 2.592 5.868
K Cd H
2 2 4
Direct
0.250 0.750 0.500
0.500 0.500 0.000
0.750 0.250 0.500
0.000 0.000 0.000
0.987 0.625 0.250
0.875 0.013 0.750
0.375 0.237 0.750
0.763 0.125 0.250
```

## Properties
theoretical density = 3.23 g/cm³
total moment = 0.000 μB per formula unit
E above lowest polymorph = 16.5 kJ/mol of atoms
N(E_F) = 1.26 states/eV/cell

***

No. 12
DFT (GGA-PBE) results for Tb2YPb after structural relaxation.

The structure in POSCAR format:
```
Tb2YPb
1.0
3.627 0.000 0.001
1.814 3.141 0.001
1.816 1.049 10.971
Tb Y Pb
2 1 1
Direct
0.080 0.080 0.759
0.253 0.253 0.240
0.500 0.500 0.500
0.667 0.667 0.000
```

## Properties
formation energy from the elements = -162 meV/atom
theoretical density = 8.16 g/cm³
total moment = 0.171 μB per formula unit
E above lowest polymorph = 12.3 kJ/mol of atoms
N(E_F) = 4.30 states/eV/cell

***

No. 13
DFT (GGA-PBE) results for Tl3Tc2PbO9 after structural relaxation.

The structure in POSCAR format:
```
Tl3Tc2PbO9
1.0
5.864 0.000 0.000
-2.932 5.078 0.000
0.000 0.000 7.807
Tc Tl O Pb
2 3 9 1
Direct
0.667 0.333 0.844
0.333 0.667 0.156
0.667 0.333 0.288
0.333 0.667 0.712
0.000 0.000 0.000
0.820 0.640 0.721
0.500 0.500 0.000
0.180 0.820 0.279
0.820 0.180 0.721
0.360 0.180 0.721
0.640 0.820 0.279
0.180 0.360 0.279
0.500 0.000 0.000
0.000 0.500 0.000
0.000 0.000 0.500
```

## Properties
theoretical density = 8.29 g/cm³
total moment = 0.001 μB per formula unit
formation energy (no corrections) = -1.05 eV per atom
N(E_F) = 6.27 states/eV/cell

***

No. 14
DFT (GGA-PBE) results for Ti2Tl2Cd after structural relaxation.

The structure in POSCAR format:
```
Ti2Tl2Cd
1.0
8.052 0.000 0.000
0.000 8.052 0.000
0.000 0.000 3.400
Ti Cd Tl
4 2 4
Direct
0.385 0.885 0.000
0.115 0.385 0.000
0.615 0.115 0.000
0.885 0.615 0.000
0.000 0.000 0.000
0.500 0.500 0.000
0.316 0.184 0.500
0.684 0.816 0.500
0.184 0.684 0.500
0.816 0.316 0.500
```

## Properties
formation energy from the elements = 222 meV/atom
theoretical density = 9.29 g/cm³
total moment = 1.160 μB per formula unit
E above lowest polymorph = 0.0 kJ/mol of atoms
N(E_F) = 10.07 states/eV/cell

***

No. 15
DFT (GGA-PBE) results for Pr3Nd2ScTe6 after structural relaxation.

The structure in POSCAR format:
```
Pr3Nd2ScTe6
1.0
-2.571 0.270 -3.602
-3.421 -8.099 1.836
-4.699 5.915 6.526
Nd Te Pr Sc
2 6 3 1
Direct
0.831 0.666 0.663
0.169 0.334 0.337
0.655 0.079 0.311
0.002 0.770 0.004
0.334 0.418 0.668
0.345 0.921 0.689
0.998 0.230 0.996
0.666 0.582 0.332
0.825 0.162 0.650
0.175 0.838 0.350
0.500 0.500 0.000
0.500 0.000 0.000
```

## Properties
theoretical density = 6.69 g/cm³
total moment = 0.000 μB per formula unit
formation energy (no corrections) = -1.37 eV per atom
N(E_F) = 7.15 states/eV/cell

***

No. 16
DFT (GGA-PBE) results for Li4Cu3Au2 after structural relaxation.

The structure in POSCAR format:
```
Li4Cu3Au2
1.0
0.686 1.102 3.687
-0.930 -3.248 3.216
7.012 -3.376 1.776
Au Li Cu
2 4 3
Direct
0.672 0.879 0.777
0.328 0.121 0.223
0.010 0.320 0.659
0.664 0.556 0.115
0.990 0.680 0.341
0.336 0.444 0.885
0.000 0.000 0.000
0.336 0.778 0.551
0.664 0.222 0.449
```

## Properties
formation energy from the elements = -258 meV/atom
theoretical density = 8.09 g/cm³
total moment = 0.000 μB per formula unit
N(E_F) = 2.99 states/eV/cell

***

No. 17
DFT (GGA-PBE) results for Ce6Ge3TeSe2 after structural relaxation.

The structure in POSCAR format:
```
Ce6Ge3TeSe2
1.0
-0.791 3.461 -2.394
-5.459 2.865 5.942
8.527 1.964 3.852
Ce Ge Te Se
6 3 1 2
Direct
0.673 0.083 0.346
0.000 0.735 0.999
0.000 0.265 0.001
0.327 0.917 0.654
0.334 0.414 0.669
0.666 0.586 0.331
0.500 0.500 0.000
0.835 0.168 0.671
0.165 0.832 0.329
0.500 0.000 0.000
0.168 0.334 0.335
0.832 0.666 0.665
```

## Properties
theoretical density = 6.71 g/cm³
total moment = 4.387 μB per formula unit
formation energy (no corrections) = -1.21 eV per atom
N(E_F) = 32.60 states/eV/cell

***

No. 18
DFT (GGA-PBE) results for Tb5AgAu2 after structural relaxation.

The structure in POSCAR format:
```
Tb5AgAu2
1.0
0.903 -6.292 -5.052
4.472 -3.842 5.584
-8.020 2.365 2.146
Ag Tb Au
2 10 4
Direct
0.750 0.750 0.500
0.250 0.250 0.500
0.014 0.514 0.712
0.500 0.500 0.000
0.000 0.000 0.000
0.302 0.802 0.288
0.486 0.302 0.288
0.514 0.698 0.712
0.198 0.014 0.712
0.986 0.486 0.288
0.802 0.986 0.288
0.698 0.198 0.712
0.134 0.366 0.000
0.866 0.634 0.000
0.634 0.134 0.000
0.366 0.866 0.000
```

## Properties
formation energy from the elements = -480 meV/atom
theoretical density = 10.13 g/cm³
total moment = 0.001 μB per formula unit
N(E_F) = 21.76 states/eV/cell

***

No. 19
DFT (GGA-PBE) results for AgMo2Ru after structural relaxation.

The structure in POSCAR format:
```
AgMo2Ru
1.0
4.930 0.000 0.000
1.846 4.571 0.000
-3.388 -2.285 2.757
Ru Mo Ag
1 2 1
Direct
0.250 0.750 0.500
0.000 0.000 0.000
0.500 0.500 0.000
0.750 0.250 0.500
```

## Properties
formation energy from the elements = 415 meV/atom
theoretical density = 10.71 g/cm³
total moment = 0.000 μB per formula unit
E above lowest polymorph = 13.1 kJ/mol of atoms
N(E_F) = 4.47 states/eV/cell

***

No. 20
DFT (GGA-PBE) results for BeC2 after structural relaxation.

The structure in POSCAR format:
```
BeC2
1.0
3.065 0.000 0.000
1.533 2.655 0.000
1.533 0.885 2.503
C Be
2 1
Direct
0.750 0.750 0.750
0.250 0.250 0.250
0.000 0.000 0.000
```

## Properties
formation energy from the elements = 1964 meV/atom
theoretical density = 2.69 g/cm³
total moment = 0.000 μB per formula unit
E above lowest polymorph = 152.2 kJ/mol of atoms
N(E_F) = 0.41 states/eV/cell